# 1
The following is a DFT calculation (GGA-PBE) of a relaxed Tm4ZnGaCu2 crystal.

Calculated values
Space-group type: R-3m
Calculated total energy, eV per atom: -4.17
Total magnetic moment, μB per formula unit: 0.000

abc: 8.5283 8.5283 8.5283
angles: 33.51 33.51 33.51
Positions (direct):
1 Tm 0.1245 0.1245 0.1245
2 Tm 0.3745 0.3745 0.3745
3 Tm 0.6255 0.6255 0.6255
4 Tm 0.8755 0.8755 0.8755
5 Zn 0.0000 0.0000 0.0000
6 Ga 0.5000 0.5000 0.5000
7 Cu 0.2516 0.2516 0.2516
8 Cu 0.7484 0.7484 0.7484


# 2
The following is a DFT calculation (GGA-PBE) of a relaxed KDy2Au2O6 crystal.

Calculated values
Raw formation energy, kJ/mol of formula units: -1640
Space-group type: P-1
Total magnetic moment, μB per formula unit: 0.996

abc: 5.6084 6.2820 6.5224
angles: 69.79 78.26 78.69
Positions (direct):
1 K 0.0000 0.0000 0.0000
2 Dy 0.1942 0.2970 0.4078
3 Dy 0.8058 0.7030 0.5922
4 Au 0.3552 0.4723 0.8819
5 Au 0.6448 0.5277 0.1181
6 O 0.0293 0.9957 0.3872
7 O 0.1194 0.4338 0.6843
8 O 0.4766 0.0033 0.6084
9 O 0.5234 0.9967 0.3916
10 O 0.8806 0.5662 0.3157
11 O 0.9707 0.0043 0.6128